## ZrTaPb (PBE-GGA)

Data for ZrTaPb after structural relaxation.

Lattice parameters (Å, degrees): 7.3719 7.3719 7.3719 155.79 155.79 34.50
Atoms (fractional coordinates):
Zr1 0.6756 0.6756 0.0000
Ta1 0.3294 0.3294 0.0000
Pb1 0.9950 0.9950 0.0000

Summary:
- space-group type = I4mm (107)
- distance to the lowest polymorph of the same formula (eV/f.u.) = 0.33
- magnetic moment (μB per atom) = 0.000
- Fermi-level density of states (states/eV per cell) = 3.0
- DFT total energy (eV per atom) = -7.79
- ΔE_f (eV per atom) = 0.249
- crystal system = tetragonal



## FeCuNiRu (PBE-GGA)

Data for FeCuNiRu after structural relaxation.

Lattice parameters (Å, degrees): 4.1169 4.1169 4.1169 60.00 60.00 60.00
Each line ends with the local moment (μB).
Atoms (fractional coordinates):
Fe1 0.5000 0.5000 0.5000  2.66
Ni1 0.7500 0.7500 0.7500  0.51
Ru1 0.2500 0.2500 0.2500  0.26
Cu1 0.0000 0.0000 0.0000  -0.03

Summary:
- space-group type = F-43m (216)
- magnetic moment (μB per atom) = 0.838
- Fermi-level density of states (states/eV per cell) = 6.5
- DFT total energy (eV per atom) = -6.71
- ΔE_f (eV per atom) = 0.196
- crystal system = cubic



## TaCuC3 (PBE-GGA)

Data for TaCuC3 after structural relaxation.

Lattice parameters (Å, degrees): 3.7378 3.7378 3.7378 90.00 90.00 90.00
Atoms (fractional coordinates):
C1 0.0000 0.5000 0.0000
C2 0.0000 0.0000 0.5000
C3 0.5000 0.0000 0.0000
Ta1 0.5000 0.5000 0.5000
Cu1 0.0000 0.0000 0.0000

Summary:
- space-group type = Pm-3m (221)
- distance to the lowest polymorph of the same formula (eV/f.u.) = 0.82
- magnetic moment (μB per atom) = 0.000
- Fermi-level density of states (states/eV per cell) = 3.2
- DFT total energy (eV per atom) = -6.50
- ΔE_f (eV per atom) = 2.222
- crystal system = cubic



## Cs2CaI6O (PBE-GGA)

Data for Cs2CaI6O after structural relaxation.

Lattice parameters (Å, degrees): 7.9780 7.9780 8.8961 63.36 63.36 90.00
Atoms (fractional coordinates):
I1 0.7801 0.7801 0.4398
I2 0.2831 0.7169 0.0000
I3 0.7169 0.2831 0.0000
I4 0.2831 0.2831 0.0000
I5 0.7169 0.7169 0.0000
I6 0.2199 0.2199 0.5602
Ca1 0.0000 0.0000 0.0000
O1 0.5000 0.5000 0.0000
Cs1 0.7500 0.2500 0.5000
Cs2 0.2500 0.7500 0.5000

Summary:
- space-group type = I4/mmm (139)
- uncorrected formation energy (eV/atom) = -0.8468
- magnetic moment (μB per atom) = 0.000
- Fermi-level density of states (states/eV per cell) = 2.1
- DFT total energy (eV per atom) = -2.64
- crystal system = tetragonal